Np2PaS5 | PBE | optimized geometry

a b c (Å): 7.3437 7.9756 11.5309
angles (deg): 90.00 90.00 90.00
With the nearest neighbours (Å) after each atom.
Atoms (fractional coordinates):
Pa1 0.4206 0.2500 0.5103  7 S 2.65-2.81
Pa2 0.5794 0.7500 0.4897  7 S 2.65-2.81
Pa3 0.0794 0.2500 0.0103  7 S 2.65-2.81
Pa4 0.9206 0.7500 0.9897  7 S 2.65-2.81
S1 0.9616 0.7500 0.5008  1 Pa 2.81, 4 Np 2.87-2.89
S2 0.6666 0.2500 0.6900  1 Pa 2.75, 4 Np 2.90-3.00
S3 0.1983 0.2500 0.7805  1 Pa 2.79, 4 Np 2.83-2.90
S4 0.0384 0.2500 0.4992  1 Pa 2.81, 4 Np 2.87-2.89
S5 0.1693 0.5482 0.0943  2 Pa 2.65-2.72, 2 Np 2.82-2.86
S6 0.5384 0.7500 0.0008  1 Pa 2.81, 4 Np 2.87-2.89
S7 0.1693 0.9518 0.0943  2 Pa 2.65-2.72, 2 Np 2.82-2.86
S8 0.1666 0.7500 0.8100  1 Pa 2.75, 4 Np 2.90-3.00
S9 0.3334 0.7500 0.3100  1 Pa 2.75, 4 Np 2.90-3.00
S10 0.8307 0.4518 0.9057  2 Pa 2.65-2.72, 2 Np 2.82-2.86
S11 0.3017 0.2500 0.2805  1 Pa 2.79, 4 Np 2.83-2.90
S12 0.8017 0.7500 0.2195  1 Pa 2.79, 4 Np 2.83-2.90
S13 0.4616 0.2500 0.9992  1 Pa 2.81, 4 Np 2.87-2.89
S14 0.6983 0.7500 0.7195  1 Pa 2.79, 4 Np 2.83-2.90
S15 0.6693 0.4518 0.4057  2 Pa 2.65-2.72, 2 Np 2.82-2.86
S16 0.8334 0.2500 0.1900  1 Pa 2.75, 4 Np 2.90-3.00
S17 0.8307 0.0482 0.9057  2 Pa 2.65-2.72, 2 Np 2.82-2.86
S18 0.6693 0.0482 0.4057  2 Pa 2.65-2.72, 2 Np 2.82-2.86
S19 0.3307 0.9518 0.5943  2 Pa 2.65-2.72, 2 Np 2.82-2.86
S20 0.3307 0.5482 0.5943  2 Pa 2.65-2.72, 2 Np 2.82-2.86
Np1 0.0261 0.5033 0.3224  8 S 2.82-3.00
Np2 0.0261 0.9967 0.3224  8 S 2.82-3.00
Np3 0.5261 0.4967 0.1776  8 S 2.82-3.00
Np4 0.9739 0.0033 0.6776  8 S 2.82-3.00
Np5 0.4739 0.5033 0.8224  8 S 2.82-3.00
Np6 0.9739 0.4967 0.6776  8 S 2.82-3.00
Np7 0.5261 0.0033 0.1776  8 S 2.82-3.00
Np8 0.4739 0.9967 0.8224  8 S 2.82-3.00

**Total energy**: -8.53 eV/atom
**ΔE_f (raw)**: -1.53 eV per atom
**Space-group type**: Pnma (62)